# Ca3In3Ga8

A geometry-optimized Ca3In3Ga8 structure (PBE-GGA, the Alexandria database).

Results
E_tot: -43.12 eV per formula unit
ΔH_f (0 K): -0.33 eV/atom
Total magnetic moment: 0.00 μB per formula unit
Volume: 22.36 Å³ per atom

abc: 8.9040 8.9040 8.9040
angles: 151.65 108.26 78.85
With the nearest neighbours (Å) after each atom.
Positions (direct):
Ca 0.0000 0.0000 0.0000  12 Ga 3.39-3.56, 4 In 3.66
Ca 0.3108 0.3108 0.0000  10 Ga 3.24-3.49, 4 In 3.40-3.46
Ca 0.6892 0.6892 0.0000  10 Ga 3.24-3.49, 4 In 3.40-3.46
In 0.2822 0.5000 0.7822  6 Ga 2.80-3.10
In 0.5000 0.0000 0.5000  4 In 3.15, 4 Ga 3.26, 4 Ca 3.40
In 0.7178 0.5000 0.2178  6 Ga 2.80-3.10
Ga 0.0417 0.6639 0.3778  4 Ga 2.55-2.68, 1 In 2.80
Ga 0.1089 0.8401 0.2688  3 Ga 2.66-2.68
Ga 0.2860 0.6639 0.6222  4 Ga 2.55-2.68, 1 In 2.80
Ga 0.4287 0.1599 0.2688  3 Ga 2.66-2.68
Ga 0.5713 0.8401 0.7312  3 Ga 2.66-2.68
Ga 0.7140 0.3361 0.3778  4 Ga 2.55-2.68, 1 In 2.80
Ga 0.8911 0.1599 0.7312  3 Ga 2.66-2.68
Ga 0.9583 0.3361 0.6222  4 Ga 2.55-2.68, 1 In 2.80